--- 1 ---
! BaSnH | Alexandria via LeMat-Bulk | PBE | relaxed; values from VASP
! Spin magnetization   0.00 μB per formula unit
! Symmetry   I4/mmm (139)
&SYSTEM
  ibrav = 0, nat = 6, ntyp = 3
/
ATOMIC_SPECIES
Sn 118.71 Sn.upf
Ba 137.33 Ba.upf
H 1.01 H.upf
ATOMIC_POSITIONS angstrom
Sn 2.978 3.103 4.402
Sn 0.817 0.851 4.018
Ba 1.538 1.603 7.567
Ba 2.256 2.352 0.853
H -0.083 1.998 -0.407
H 2.000 0.000 -0.407
CELL_PARAMETERS angstrom
4.000 0.000 -0.813
-0.165 3.997 -0.813
-0.040 -0.042 10.047



--- 2 ---
! BaSnH | Alexandria via LeMat-Bulk | PBE | relaxed; values from VASP
! Spin magnetization   0.00 μB per formula unit
! Symmetry   Pnma (62)
&SYSTEM
  ibrav = 0, nat = 12, ntyp = 3
/
ATOMIC_SPECIES
H 1.01 H.upf
Sn 118.71 Sn.upf
Ba 137.33 Ba.upf
ATOMIC_POSITIONS angstrom
H 1.513 -1.306 2.950
H 3.786 -1.797 7.375
H 6.789 2.777 6.842
H 4.516 3.268 2.416
Sn 3.658 1.958 5.455
Sn 4.644 -0.487 4.337
Sn 9.313 0.494 6.523
Sn -1.011 0.977 3.268
Ba 2.368 1.568 2.025
Ba 7.019 2.588 4.182
Ba 1.283 -1.117 5.610
Ba 5.934 -0.096 7.766
CELL_PARAMETERS angstrom
-2.102 1.809 3.678
2.539 -5.476 4.145
7.865 5.138 1.969



--- 3 ---
! BaSnH | Alexandria via LeMat-Bulk | PBE | relaxed; values from VASP
! Spin magnetization   0.00 μB per formula unit
! Symmetry   C2/m (12)
&SYSTEM
  ibrav = 0, nat = 6, ntyp = 3
/
ATOMIC_SPECIES
H 1.01 H.upf
Ba 137.33 Ba.upf
Sn 118.71 Sn.upf
ATOMIC_POSITIONS angstrom
H 0.000 1.688 8.229
H 2.296 0.383 0.157
Ba 0.000 -1.493 6.566
Ba 2.296 3.563 1.820
Sn 0.000 1.857 3.802
Sn 2.296 0.214 4.584
CELL_PARAMETERS angstrom
4.593 0.000 0.000
-2.296 4.736 -0.011
0.000 -2.665 8.398



Which structure is the least stable? The one labeled 3.



--- 1 ---
! Ba2SrH2 | Alexandria via LeMat-Bulk | PBE | relaxed; values from VASP
! Spin magnetization   0.00 μB per formula unit
! Symmetry   P4/mbm (127)
&SYSTEM
  ibrav = 0, nat = 10, ntyp = 3
/
ATOMIC_SPECIES
H 1.01 H.upf
Ba 137.33 Ba.upf
Sr 87.62 Sr.upf
ATOMIC_POSITIONS angstrom
H -7.173 -5.314 1.218
H -3.537 -4.743 3.341
H -2.340 -1.816 0.503
H -5.976 -2.387 -1.620
Ba -7.838 -1.216 -0.112
Ba -7.819 -3.925 3.401
Ba -3.822 -2.390 4.563
Ba -3.841 0.319 1.050
Sr -4.756 -3.565 0.860
Sr 0.000 0.000 0.000
CELL_PARAMETERS angstrom
-7.336 -1.314 -4.074
-2.177 -5.816 5.795
-2.148 3.524 2.730



--- 2 ---
! Ba2SrH2 | Alexandria via LeMat-Bulk | PBE | relaxed; values from VASP
! Spin magnetization   0.11 μB per formula unit
! Symmetry   I4/mmm (139)
&SYSTEM
  ibrav = 0, nat = 5, ntyp = 3
/
ATOMIC_SPECIES
Ba 137.33 Ba.upf
H 1.01 H.upf
Sr 87.62 Sr.upf
ATOMIC_POSITIONS angstrom
Ba 4.394 4.394 6.354
Ba 2.197 2.197 3.467
H 4.394 2.197 4.911
H 2.197 4.394 4.911
Sr 0.000 0.000 0.000
CELL_PARAMETERS angstrom
4.394 0.000 0.000
0.000 4.394 0.000
2.197 2.197 9.821



Which structure is the least stable? The one labeled 1.